DFT (GGA-PBE) results for an optimized crystal structure of ScGa4Ru2.

## Properties
theoretical density: 7.631 g/cm³
density of states at the Fermi level: 3.49 states/eV/cell
total energy: -39.77 eV per cell
polymorph energy (0 for the lowest one): 0 meV per atom

```
ScGa4Ru2
1.0
4.0431 0.0000 0.0000
0.0000 4.0431 0.0000
0.0000 0.0000 7.0016
Sc Ga Ru
1 4 2
Cartesian
0.0000 0.0000 0.0000
0.0000 2.0215 1.9703
0.0000 2.0215 5.0313
2.0215 0.0000 1.9703
2.0215 0.0000 5.0313
0.0000 0.0000 3.5008
2.0215 2.0215 0.0000
```